(1)
A relaxed structure of Sm2SbO4, computed with GGA-PBE.

Computed properties:
Final energy, Ry/atom: -0.5255

Cell and atoms, written as extended XYZ:
```
14
Lattice="4.607 0.552 -5.268 -0.850 -6.144 3.289 -5.073 2.477 -4.174" Properties=species:S:1:pos:R:3 pbc="T T T"
Sm 0.649 0.495 -6.396
Sm -1.655 0.219 -3.762
Sm -2.080 -2.853 -2.117
Sm 0.456 -4.091 -0.030
O 0.652 -0.061 -4.113
O -2.296 -1.980 -4.289
O -1.597 1.038 -5.964
O -4.339 -2.225 -1.952
O -1.713 -0.599 -1.560
O -1.864 -3.726 0.054
O 0.179 -3.481 -2.283
O -3.962 0.499 -3.411
Sb 1.762 -2.039 -3.350
Sb 0.000 0.000 0.000
```


(2)
A relaxed structure of Sr2SmSbO6, computed with GGA-PBE.

Computed properties:
Final energy, Ry/atom: -0.5021

Cell and atoms, written as extended XYZ:
```
20
Lattice="-2.658 5.124 -0.928 -0.901 -1.496 -5.685 -7.286 -3.453 2.063" Properties=species:S:1:pos:R:3 pbc="T T T"
O -6.487 0.547 -3.632
O -4.540 3.169 -3.045
O -6.194 1.803 -0.695
O -1.559 -0.361 -4.475
O -4.651 -1.628 -3.854
O -6.305 -2.994 -1.504
O -1.325 0.797 -1.909
O -9.286 0.536 -0.074
O -6.456 -0.459 0.963
O -9.520 -0.622 -2.640
O -4.389 0.634 -5.512
O -4.358 -0.372 -0.917
Sr -1.887 -0.870 0.278
Sr -3.608 0.837 -3.010
Sr -8.958 1.045 -4.827
Sr -7.237 -0.662 -1.539
Sm -1.329 2.562 -0.464
Sm -4.093 -2.475 -1.811
Sb -4.972 0.836 0.568
Sb -0.450 -0.748 -2.842
```